YSc2Cl after structural relaxation. Source: Alexandria, functional PBE-GGA. Values from VASP.

Geometry as Quantum ESPRESSO input:
```
&SYSTEM
  ibrav = 0, nat = 4, ntyp = 3
/
ATOMIC_SPECIES
Cl 35.45 Cl.upf
Sc 44.96 Sc.upf
Y 88.91 Y.upf
ATOMIC_POSITIONS crystal
Cl 0.250 0.750 0.500
Sc 0.035 0.035 0.000
Sc 0.465 0.465 0.000
Y 0.750 0.250 0.500
CELL_PARAMETERS angstrom
-4.068 1.150 -4.571
-5.421 -3.061 0.085
3.939 4.039 2.633
```

* calculated total energy: -22.57 eV for the cell shown
* crystal system: orthorhombic
* density: 3.71 g/cm3
* spin magnetization: 0.00 μB per cell

***

YScCl2 after structural relaxation. Source: Alexandria, functional PBE-GGA. Values from VASP.

Geometry as Quantum ESPRESSO input:
```
&SYSTEM
  ibrav = 0, nat = 4, ntyp = 3
/
ATOMIC_SPECIES
Y 88.91 Y.upf
Sc 44.96 Sc.upf
Cl 35.45 Cl.upf
ATOMIC_POSITIONS crystal
Y 0.000 0.500 0.500
Sc 0.500 0.000 0.500
Cl 0.000 0.000 0.000
Cl 0.500 0.500 0.000
CELL_PARAMETERS angstrom
-1.506 -4.541 -0.073
2.785 -0.984 3.765
-2.564 0.817 2.110
```

* calculated total energy: -19.86 eV for the cell shown
* crystal system: tetragonal
* density: 4.34 g/cm3
* spin magnetization: 0.00 μB per cell

***

Sc2ZnCl after structural relaxation. Source: Alexandria, functional PBE-GGA. Values from VASP.

Geometry as Quantum ESPRESSO input:
```
&SYSTEM
  ibrav = 0, nat = 4, ntyp = 3
/
ATOMIC_SPECIES
Cl 35.45 Cl.upf
Sc 44.96 Sc.upf
Zn 65.41 Zn.upf
ATOMIC_POSITIONS crystal
Cl 0.250 0.250 0.250
Sc 0.999 0.999 0.002
Sc 0.501 0.501 0.498
Zn 0.750 0.750 0.750
CELL_PARAMETERS angstrom
3.512 0.006 -0.001
1.754 3.043 -0.001
1.760 1.019 7.385
```

* calculated total energy: -18.53 eV for the cell shown
* crystal system: trigonal
* density: 4.02 g/cm3
* spin magnetization: 0.00 μB per cell

***

ScZn3Cl after structural relaxation. Source: Alexandria, functional PBE-GGA. Values from VASP.

Geometry as Quantum ESPRESSO input:
```
&SYSTEM
  ibrav = 0, nat = 5, ntyp = 3
/
ATOMIC_SPECIES
Sc 44.96 Sc.upf
Zn 65.41 Zn.upf
Cl 35.45 Cl.upf
ATOMIC_POSITIONS crystal
Sc 0.500 0.500 0.500
Zn 0.000 0.500 0.000
Zn 0.000 0.000 0.500
Zn 0.500 0.000 0.000
Cl 0.000 0.000 0.000
CELL_PARAMETERS angstrom
4.900 0.000 0.000
0.000 4.900 0.000
0.000 0.000 4.900
```

* calculated total energy: -9.41 eV for the cell shown
* crystal system: cubic
* density: 3.91 g/cm3
* spin magnetization: 0.00 μB per cell

***

ScZn2Cl after structural relaxation. Source: Alexandria, functional PBE-GGA. Values from VASP.

Geometry as Quantum ESPRESSO input:
```
&SYSTEM
  ibrav = 0, nat = 4, ntyp = 3
/
ATOMIC_SPECIES
Cl 35.45 Cl.upf
Sc 44.96 Sc.upf
Zn 65.41 Zn.upf
ATOMIC_POSITIONS crystal
Cl 0.500 0.500 0.250
Sc 0.500 0.500 0.750
Zn 0.000 0.000 0.989
Zn 0.000 0.000 0.511
CELL_PARAMETERS angstrom
3.328 0.000 0.000
0.000 3.328 0.000
0.000 0.000 7.215
```

* calculated total energy: -11.67 eV for the cell shown
* crystal system: tetragonal
* density: 4.39 g/cm3
* spin magnetization: 0.63 μB per cell

***

ScZn2Cl after structural relaxation. Source: Alexandria, functional PBE-GGA. Values from VASP.

Geometry as Quantum ESPRESSO input:
```
&SYSTEM
  ibrav = 0, nat = 4, ntyp = 3
/
ATOMIC_SPECIES
Cl 35.45 Cl.upf
Sc 44.96 Sc.upf
Zn 65.41 Zn.upf
ATOMIC_POSITIONS crystal
Cl 0.500 0.500 0.000
Sc 0.750 0.250 0.500
Zn 0.000 0.000 0.000
Zn 0.250 0.750 0.500
CELL_PARAMETERS angstrom
-3.590 1.662 -3.367
-3.164 -3.884 -1.376
1.579 1.779 4.618
```

* calculated total energy: -11.89 eV for the cell shown
* crystal system: tetragonal
* density: 4.70 g/cm3
* spin magnetization: 0.00 μB per cell

***

ScZnCl2 after structural relaxation. Source: Alexandria, functional PBE-GGA. Values from VASP.

Geometry as Quantum ESPRESSO input:
```
&SYSTEM
  ibrav = 0, nat = 4, ntyp = 3
/
ATOMIC_SPECIES
Sc 44.96 Sc.upf
Zn 65.41 Zn.upf
Cl 35.45 Cl.upf
ATOMIC_POSITIONS crystal
Sc 0.500 0.000 0.500
Zn 0.000 0.500 0.500
Cl 0.000 0.000 0.000
Cl 0.500 0.500 0.000
CELL_PARAMETERS angstrom
3.435 0.000 0.000
0.000 5.528 0.000
0.000 0.000 4.218
```

* calculated total energy: -14.12 eV for the cell shown
* crystal system: orthorhombic
* density: 3.76 g/cm3
* spin magnetization: 0.01 μB per cell

***

ScZn2Cl after structural relaxation. Source: Alexandria, functional PBE-GGA. Values from VASP.

Geometry as Quantum ESPRESSO input:
```
&SYSTEM
  ibrav = 0, nat = 4, ntyp = 3
/
ATOMIC_SPECIES
Cl 35.45 Cl.upf
Sc 44.96 Sc.upf
Zn 65.41 Zn.upf
ATOMIC_POSITIONS crystal
Cl 0.467 0.467 0.000
Sc 0.265 0.765 0.500
Zn 0.010 0.010 0.000
Zn 0.758 0.258 0.500
CELL_PARAMETERS angstrom
5.698 0.022 0.006
2.429 5.155 -0.006
-3.369 -3.679 2.755
```

* calculated total energy: -12.26 eV for the cell shown
* crystal system: orthorhombic
* density: 4.35 g/cm3
* spin magnetization: 0.00 μB per cell

***

ScZnCl2 after structural relaxation. Source: Alexandria, functional PBE-GGA. Values from VASP.

Geometry as Quantum ESPRESSO input:
```
&SYSTEM
  ibrav = 0, nat = 4, ntyp = 3
/
ATOMIC_SPECIES
Sc 44.96 Sc.upf
Zn 65.41 Zn.upf
Cl 35.45 Cl.upf
ATOMIC_POSITIONS crystal
Sc 0.500 0.500 0.000
Zn 0.750 0.250 0.500
Cl 0.000 0.000 0.000
Cl 0.250 0.750 0.500
CELL_PARAMETERS angstrom
-3.725 -3.236 3.233
-0.904 -5.775 -0.794
4.353 3.941 0.564
```

* calculated total energy: -13.94 eV for the cell shown
* crystal system: tetragonal
* density: 3.77 g/cm3
* spin magnetization: 0.00 μB per cell

***

ScZnCl2 after structural relaxation. Source: Alexandria, functional PBE-GGA. Values from VASP.

Geometry as Quantum ESPRESSO input:
```
&SYSTEM
  ibrav = 0, nat = 4, ntyp = 3
/
ATOMIC_SPECIES
Sc 44.96 Sc.upf
Zn 65.41 Zn.upf
Cl 35.45 Cl.upf
ATOMIC_POSITIONS crystal
Sc 0.500 0.500 0.250
Zn 0.500 0.500 0.750
Cl 0.000 0.000 0.083
Cl 0.000 0.000 0.417
CELL_PARAMETERS angstrom
-1.319 -0.621 3.424
0.127 -2.577 -2.682
9.803 -2.901 3.251
```

* calculated total energy: -15.31 eV for the cell shown
* crystal system: orthorhombic
* density: 2.44 g/cm3
* spin magnetization: 0.48 μB per cell

***

ScZn2Cl after structural relaxation. Source: Alexandria, functional PBE-GGA. Values from VASP.

Geometry as Quantum ESPRESSO input:
```
&SYSTEM
  ibrav = 0, nat = 4, ntyp = 3
/
ATOMIC_SPECIES
Cl 35.45 Cl.upf
Sc 44.96 Sc.upf
Zn 65.41 Zn.upf
ATOMIC_POSITIONS crystal
Cl 0.000 0.000 0.581
Sc 0.500 0.500 0.761
Zn 0.000 0.000 0.999
Zn 0.500 0.500 0.159
CELL_PARAMETERS angstrom
3.180 0.000 0.000
0.000 3.180 0.000
0.000 0.000 8.288
```

* calculated total energy: -12.96 eV for the cell shown
* crystal system: tetragonal
* density: 4.19 g/cm3
* spin magnetization: 0.53 μB per cell

***

ScZnCl2 after structural relaxation. Source: Alexandria, functional PBE-GGA. Values from VASP.

Geometry as Quantum ESPRESSO input:
```
&SYSTEM
  ibrav = 0, nat = 4, ntyp = 3
/
ATOMIC_SPECIES
Sc 44.96 Sc.upf
Zn 65.41 Zn.upf
Cl 35.45 Cl.upf
ATOMIC_POSITIONS crystal
Sc 0.500 0.500 0.500
Zn 0.000 0.000 0.000
Cl 0.882 0.882 0.882
Cl 0.118 0.118 0.118
CELL_PARAMETERS angstrom
-2.403 -9.389 5.249
0.933 -8.987 6.311
-1.673 -7.357 8.034
```

* calculated total energy: -16.03 eV for the cell shown
* crystal system: trigonal
* density: 2.58 g/cm3
* spin magnetization: 0.00 μB per cell